## MnNb2O (PBE+U)

Data for MnNb2O after structural relaxation.

Calculated values
Fermi-level density of states in states/eV per cell: 5.10
Total magnetization in Bohr magnetons per cell: 6.4
DFT total energy in eV/atom: -8.46

a = 5.6103 Å, b = 5.6103 Å, c = 5.6103 Å
α = 101.96°, β = 101.96°, γ = 125.84°
With the nearest neighbours (Å) after each atom.
Fractional positions:
Mn 0.0000 0.0000 0.0000  2 O 2.55, 4 Nb 2.78
Mn 0.7500 0.2500 0.5000  2 O 2.55, 4 Nb 2.78
Nb 0.2369 0.6250 0.1119  2 O 2.12
Nb 0.3750 0.4869 0.6119  2 O 2.12
Nb 0.5131 0.1250 0.8881  2 O 2.12
Nb 0.8750 0.7631 0.3881  2 O 2.12
O 0.2500 0.7500 0.5000  4 Nb 2.12
O 0.5000 0.5000 0.0000  4 Nb 2.12